Entry 1:
# MgSc3S4 (PBE, relaxed)
# Uncorrected energy: -6.365 eV/atom
# E_form (uncorrected): -166.74 kJ per mole of atoms
# N(E_F): 1.1 states/eV/f.u.
# Energy above the most stable polymorph in this dataset: 0.0000 eV per atom
# Size of the total moment: 0.000 μB/atom
data_MgSc3S4
_chemical_formula_sum 'Mg2 Sc6 S8'
_space_group_name_H-M_alt 'I 4/m m m'
_space_group_IT_number 139
_space_group_name_Hall '-I 4 2'
_cell_length_a 5.215
_cell_length_b 5.215
_cell_length_c 10.473
_cell_angle_alpha 90.00
_cell_angle_beta 90.00
_cell_angle_gamma 90.00
loop_
_atom_site_label
_atom_site_fract_x
_atom_site_fract_y
_atom_site_fract_z
Mg1 0.000 0.000 0.000
Sc1 0.000 0.000 0.500
Sc2 0.000 0.500 0.250
S1 0.000 0.000 0.243
S2 0.000 0.500 0.000

***

Entry 2:
# VRe2HW (PBE, relaxed)
# Uncorrected energy: -9.945 eV/atom
# N(E_F): 5.1 states/eV/f.u.
# Size of the total moment: 0.000 μB/atom
data_VRe2HW
_chemical_formula_sum 'V1 Re2 H1 W1'
_space_group_name_H-M_alt 'P 4/m m m'
_space_group_IT_number 123
_space_group_name_Hall '-P 4 2'
_cell_length_a 4.021
_cell_length_b 4.021
_cell_length_c 3.831
_cell_angle_alpha 90.00
_cell_angle_beta 90.00
_cell_angle_gamma 90.00
loop_
_atom_site_label
_atom_site_fract_x
_atom_site_fract_y
_atom_site_fract_z
V1 0.000 0.000 0.000
Re1 0.000 0.500 0.500
H1 0.000 0.000 0.500
W1 0.500 0.500 0.000

***

Entry 3:
# Y2TmTh3S6 (PBE, relaxed)
# Uncorrected energy: -7.261 eV/atom
# E_form (uncorrected): -182.63 kJ per mole of atoms
# N(E_F): 8.1 states/eV/f.u.
# Size of the total moment: 0.000 μB/atom
data_Y2TmTh3S6
_chemical_formula_sum 'Y4 Tm2 Th6 S12'
_space_group_name_H-M_alt 'C 1 2/m 1'
_space_group_IT_number 12
_space_group_name_Hall '-C 2y'
_cell_length_a 17.614
_cell_length_b 3.908
_cell_length_c 8.067
_cell_angle_alpha 90.00
_cell_angle_beta 107.21
_cell_angle_gamma 90.00
loop_
_atom_site_label
_atom_site_fract_x
_atom_site_fract_y
_atom_site_fract_z
Y1 0.167 0.000 0.333
Tm1 0.000 0.500 0.000
Th1 0.000 0.500 0.500
Th2 0.167 0.000 0.833
S1 0.003 0.000 0.236
S2 0.161 0.500 0.090
S3 0.170 0.500 0.574

***

Entry 4:
# CaSc2Tc2 (PBE, relaxed)
# Uncorrected energy: -6.929 eV/atom
# N(E_F): 7.2 states/eV/f.u.
# Size of the total moment: 0.000 μB/atom
data_CaSc2Tc2
_chemical_formula_sum 'Ca2 Sc4 Tc4'
_space_group_name_H-M_alt 'P 4/m b m'
_space_group_IT_number 127
_space_group_name_Hall '-P 4 2ab'
_cell_length_a 7.988
_cell_length_b 7.988
_cell_length_c 3.167
_cell_angle_alpha 90.00
_cell_angle_beta 90.00
_cell_angle_gamma 90.00
loop_
_atom_site_label
_atom_site_fract_x
_atom_site_fract_y
_atom_site_fract_z
Ca1 0.000 0.000 0.000
Sc1 0.144 0.356 0.500
Tc1 0.142 0.642 0.000

***

Entry 5:
# SrPrHg2 (PBE, relaxed)
# Uncorrected energy: -2.269 eV/atom
# N(E_F): 3.9 states/eV/f.u.
# Size of the total moment: 0.026 μB/atom
data_SrPrHg2
_chemical_formula_sum 'Sr1 Pr1 Hg2'
_space_group_name_H-M_alt 'P 4/m m m'
_space_group_IT_number 123
_space_group_name_Hall '-P 4 2'
_cell_length_a 3.925
_cell_length_b 3.925
_cell_length_c 7.911
_cell_angle_alpha 90.00
_cell_angle_beta 90.00
_cell_angle_gamma 90.00
loop_
_atom_site_label
_atom_site_fract_x
_atom_site_fract_y
_atom_site_fract_z
Sr1 0.000 0.000 0.000
Pr1 0.000 0.000 0.500
Hg1 0.500 0.500 0.268

***

Entry 6:
# Be3OsSe (PBE, relaxed)
# Uncorrected energy: -4.328 eV/atom
# E_form (uncorrected): 82.08 kJ per mole of atoms
# N(E_F): 0.1 states/eV/f.u.
# Energy above the most stable polymorph in this dataset: 0.0000 eV per atom
# Size of the total moment: 0.000 μB/atom
data_Be3OsSe
_chemical_formula_sum 'Be3 Os1 Se1'
_space_group_name_H-M_alt 'P m -3 m'
_space_group_IT_number 221
_space_group_name_Hall '-P 4 2 3'
_cell_length_a 4.257
_cell_length_b 4.257
_cell_length_c 4.257
_cell_angle_alpha 90.00
_cell_angle_beta 90.00
_cell_angle_gamma 90.00
loop_
_atom_site_label
_atom_site_fract_x
_atom_site_fract_y
_atom_site_fract_z
Be1 0.000 0.000 0.500
Os1 0.000 0.000 0.000
Se1 0.500 0.500 0.500

***

Entry 7:
# KCoPt2 (PBE, relaxed)
# Uncorrected energy: -4.316 eV/atom
# N(E_F): 5.8 states/eV/f.u.
# Energy above the most stable polymorph in this dataset: 0.6508 eV per atom
# Size of the total moment: 0.584 μB/atom
data_KCoPt2
_chemical_formula_sum 'K4 Co4 Pt8'
_space_group_name_H-M_alt 'F m -3 m'
_space_group_IT_number 225
_space_group_name_Hall '-F 4 2 3'
_cell_length_a 6.567
_cell_length_b 6.567
_cell_length_c 6.567
_cell_angle_alpha 90.00
_cell_angle_beta 90.00
_cell_angle_gamma 90.00
loop_
_atom_site_label
_atom_site_fract_x
_atom_site_fract_y
_atom_site_fract_z
K1 0.000 0.000 0.000
Co1 0.000 0.000 0.500
Pt1 0.250 0.250 0.250

***

Entry 8:
# LaTlSn2Se4 (PBE, relaxed)
# Uncorrected energy: -4.537 eV/atom
# E_form (uncorrected): -85.11 kJ per mole of atoms
# Size of the total moment: 0.000 μB/atom
data_LaTlSn2Se4
_chemical_formula_sum 'La1 Tl1 Sn2 Se4'
_space_group_name_H-M_alt 'P 1 2/m 1'
_space_group_IT_number 10
_space_group_name_Hall '-P 2y'
_cell_length_a 7.566
_cell_length_b 4.374
_cell_length_c 7.585
_cell_angle_alpha 90.00
_cell_angle_beta 108.61
_cell_angle_gamma 90.00
loop_
_atom_site_label
_atom_site_fract_x
_atom_site_fract_y
_atom_site_fract_z
La1 0.000 0.000 0.000
Tl1 0.500 0.500 0.000
Sn1 0.000 0.500 0.500
Sn2 0.500 0.000 0.500
Se1 0.227 0.000 0.738
Se2 0.236 0.500 0.252